No. 1
Rb2HgC (PBE, relaxed); DOS(E_F) = 0.7863 states/eV/atom; electronic total energy = -1.7450 eV/atom; magnetization = 2.00 μB/cell; relative energy among the computed polymorphs = 374.5 meV/atom; crystal system = cubic; volume = 34.905 Å³ per atom; energy of formation = 1.12 eV per atom; space group = Fm-3m, No. 225
1.0
0.000 4.118 4.118
4.118 0.000 4.118
4.118 4.118 0.000
Rb Hg C
2 1 1
Direct
0.250 0.250 0.250
0.750 0.750 0.750
0.000 0.000 0.000
0.500 0.500 0.500

No. 2
PSe2Br (PBE, relaxed); formation energy from raw total energies = 445 meV per atom; DOS(E_F) = 0.4909 states/eV/atom; electronic total energy = -3.0675 eV/atom; magnetization = 0.00 μB/cell; relative energy among the computed polymorphs = 464.5 meV/atom; crystal system = tetragonal; volume = 21.957 Å³ per atom; space group = P4/mmm, No. 123
1.0
3.494 0.000 0.000
0.000 3.494 0.000
0.000 0.000 7.196
P Se Br
1 2 1
Direct
0.000 0.000 0.000
0.500 0.500 0.175
0.500 0.500 0.825
0.000 0.000 0.500

No. 3
LiPaPt2 (PBE, relaxed); DOS(E_F) = 0.6337 states/eV/atom; electronic total energy = -6.7566 eV/atom; magnetization = 0.00 μB/cell; relative energy among the computed polymorphs = 0.0 meV/atom; crystal system = trigonal; volume = 18.413 Å³ per atom; energy of formation = -0.88 eV per atom; space group = R-3m, No. 166
1.0
2.133 1.231 4.673
-2.133 1.231 4.673
0.000 -2.463 4.673
Li Pa Pt
1 1 2
Direct
0.000 0.000 0.000
0.500 0.500 0.500
0.276 0.276 0.276
0.724 0.724 0.724

Q: Among the records above, which one has the highest volume?
A: Rb2HgC

What did the third record say?
LiPaPt2 (PBE, relaxed); DOS(E_F) = 0.6337 states/eV/atom; electronic total energy = -6.7566 eV/atom; magnetization = 0.00 μB/cell; relative energy among the computed polymorphs = 0.0 meV/atom; crystal system = trigonal; volume = 18.413 Å³ per atom; energy of formation = -0.88 eV per atom; space group = R-3m, No. 166
1.0
2.133 1.231 4.673
-2.133 1.231 4.673
0.000 -2.463 4.673
Li Pa Pt
1 1 2
Direct
0.000 0.000 0.000
0.500 0.500 0.500
0.276 0.276 0.276
0.724 0.724 0.724